Entry i
The following is a DFT calculation (PBE) of a relaxed BaTl3Hg3 crystal.

a b c (Å): 9.595 9.595 9.595
angles (deg): 90.00 90.00 90.00
Positions (direct):
1 Ba 0.044 0.456 0.544
2 Ba 0.456 0.544 0.044
3 Ba 0.544 0.044 0.456
4 Ba 0.956 0.956 0.956
5 Tl 0.120 0.620 0.880
6 Tl 0.172 0.828 0.328
7 Tl 0.179 0.179 0.179
8 Tl 0.321 0.821 0.679
9 Tl 0.328 0.172 0.828
10 Tl 0.380 0.380 0.380
11 Tl 0.620 0.880 0.120
12 Tl 0.672 0.672 0.672
13 Tl 0.679 0.321 0.821
14 Tl 0.821 0.679 0.321
15 Tl 0.828 0.328 0.172
16 Tl 0.880 0.120 0.620
17 Hg 0.027 0.307 0.888
18 Hg 0.112 0.527 0.193
19 Hg 0.193 0.112 0.527
20 Hg 0.307 0.888 0.027
21 Hg 0.388 0.473 0.693
22 Hg 0.473 0.693 0.388
23 Hg 0.527 0.193 0.112
24 Hg 0.612 0.973 0.807
25 Hg 0.693 0.388 0.473
26 Hg 0.807 0.612 0.973
27 Hg 0.888 0.027 0.307
28 Hg 0.973 0.807 0.612

Properties
Space-group type: P2_13, No. 198
Density of states at the Fermi level, states/eV/cell: 13.08

Entry ii
The following is a DFT calculation (PBE) of a relaxed BaTl3Hg3 crystal.

a b c (Å): 8.527 8.527 8.527
angles (deg): 60.42 60.42 60.42
Positions (direct):
1 Ba 0.133 0.133 0.133
2 Ba 0.867 0.867 0.867
3 Tl 0.112 0.229 0.559
4 Tl 0.229 0.559 0.112
5 Tl 0.441 0.888 0.771
6 Tl 0.559 0.112 0.229
7 Tl 0.771 0.441 0.888
8 Tl 0.888 0.771 0.441
9 Hg 0.201 0.481 0.650
10 Hg 0.350 0.799 0.519
11 Hg 0.481 0.650 0.201
12 Hg 0.519 0.350 0.799
13 Hg 0.650 0.201 0.481
14 Hg 0.799 0.519 0.350

Properties
Space-group type: R-3, No. 148
Density of states at the Fermi level, states/eV/cell: 5.87

Entry iii
The following is a DFT calculation (PBE) of a relaxed BaTl3Hg3 crystal.

a b c (Å): 8.253 8.253 8.253
angles (deg): 90.00 90.00 90.00
Positions (direct):
1 Ba 0.000 0.000 0.000
2 Ba 0.500 0.500 0.500
3 Tl 0.000 0.250 0.500
4 Tl 0.000 0.750 0.500
5 Tl 0.250 0.500 0.000
6 Tl 0.500 0.000 0.250
7 Tl 0.500 0.000 0.750
8 Tl 0.750 0.500 0.000
9 Hg 0.000 0.500 0.250
10 Hg 0.000 0.500 0.750
11 Hg 0.250 0.000 0.500
12 Hg 0.500 0.250 0.000
13 Hg 0.500 0.750 0.000
14 Hg 0.750 0.000 0.500

Properties
Space-group type: Pm-3n, No. 223
Density of states at the Fermi level, states/eV/cell: 9.69

Stability summary - winner: entry i; margin: 14 meV/atom.

Entry i
The following is a DFT calculation (PBE) of a relaxed Ba6Tl2Hg crystal.

a b c (Å): 8.080 9.480 13.673
angles (deg): 90.00 120.76 90.00
Positions (direct):
1 Ba 0.094 0.043 0.238
2 Ba 0.094 0.457 0.738
3 Ba 0.213 0.678 0.074
4 Ba 0.213 0.822 0.574
5 Ba 0.396 0.170 0.062
6 Ba 0.396 0.330 0.562
7 Ba 0.604 0.670 0.438
8 Ba 0.604 0.830 0.938
9 Ba 0.787 0.178 0.426
10 Ba 0.787 0.322 0.926
11 Ba 0.906 0.543 0.262
12 Ba 0.906 0.957 0.762
13 Tl 0.311 0.120 0.759
14 Tl 0.311 0.380 0.259
15 Tl 0.689 0.620 0.741
16 Tl 0.689 0.880 0.241
17 Hg 0.500 0.000 0.500
18 Hg 0.500 0.500 0.000

Properties
Space-group type: P2_1/c, No. 14
Density of states at the Fermi level, states/eV/cell: 27.97

Entry ii
The following is a DFT calculation (PBE) of a relaxed Ba6Tl2Hg crystal.

a b c (Å): 7.935 7.935 13.547
angles (deg): 104.00 104.00 33.81
Positions (direct):
1 Ba 0.040 0.040 0.290
2 Ba 0.321 0.321 0.897
3 Ba 0.343 0.343 0.413
4 Ba 0.657 0.657 0.587
5 Ba 0.679 0.679 0.103
6 Ba 0.960 0.960 0.710
7 Tl 0.375 0.375 0.166
8 Tl 0.625 0.625 0.834
9 Hg 0.000 0.000 0.000

Properties
Space-group type: C2/m, No. 12
Density of states at the Fermi level, states/eV/cell: 9.97

Stability summary - winner: entry i; margin: 71 meV/atom.